## A
VASP calculation (GGA-PBE) on Cs3Rb2Au4 after structural relaxation.

```
Cs3Rb2Au4
1.0
8.595 -2.579 0.000
8.595 2.579 0.000
-6.338 0.000 10.884
Cs Rb Au
3 2 4
direct
0.000 0.000 0.000
0.205 0.205 0.806
0.795 0.795 0.194
0.393 0.393 0.609
0.607 0.607 0.391
0.206 0.206 0.313
0.404 0.404 0.111
0.596 0.596 0.889
0.794 0.794 0.687
```

As for the space-group type: C2/m.

***

## B
VASP calculation (GGA-PBE) on Cs3Rb2Au4 after structural relaxation.

```
Cs3Rb2Au4
1.0
5.042 -8.872 0.000
5.042 8.872 0.000
0.000 0.000 9.919
Cs Rb Au
6 4 8
direct
0.000 0.000 0.000
0.048 0.452 0.250
0.452 0.048 0.750
0.500 0.500 0.500
0.548 0.952 0.250
0.952 0.548 0.750
0.103 0.897 0.397
0.397 0.603 0.897
0.603 0.397 0.103
0.897 0.103 0.603
0.213 0.787 0.034
0.246 0.254 0.250
0.254 0.246 0.750
0.287 0.713 0.534
0.713 0.287 0.466
0.746 0.754 0.250
0.754 0.746 0.750
0.787 0.213 0.966
```

As for the space-group type: Cmce.

***

Which of them is least stable? Easy: B.

***

## A
VASP calculation (GGA-PBE) on Cs12RbAu7 after structural relaxation.

```
Cs12RbAu7
1.0
11.510 6.645 2.505
-11.510 6.645 2.505
0.000 -13.291 2.505
Cs Rb Au
12 1 7
direct
0.057 0.135 0.342
0.135 0.342 0.057
0.212 0.596 0.737
0.263 0.788 0.404
0.342 0.057 0.135
0.404 0.263 0.788
0.596 0.737 0.212
0.658 0.943 0.865
0.737 0.212 0.596
0.788 0.404 0.263
0.865 0.658 0.943
0.943 0.865 0.658
0.500 0.500 0.500
0.000 0.000 0.000
0.139 0.455 0.374
0.374 0.139 0.455
0.455 0.374 0.139
0.545 0.626 0.861
0.626 0.861 0.545
0.861 0.545 0.626
```

As for the space-group type: R-3.

***

## B
VASP calculation (GGA-PBE) on Cs12RbAu7 after structural relaxation.

```
Cs12RbAu7
1.0
9.401 5.428 4.273
-9.401 5.428 4.273
0.000 -10.855 4.273
Cs Rb Au
12 1 7
direct
0.055 0.344 0.126
0.126 0.055 0.344
0.191 0.723 0.578
0.277 0.422 0.809
0.344 0.126 0.055
0.422 0.809 0.277
0.578 0.191 0.723
0.656 0.874 0.945
0.723 0.578 0.191
0.809 0.277 0.422
0.874 0.945 0.656
0.945 0.656 0.874
0.500 0.500 0.500
0.000 0.000 0.000
0.158 0.390 0.468
0.390 0.468 0.158
0.468 0.158 0.390
0.532 0.842 0.610
0.610 0.532 0.842
0.842 0.610 0.532
```

As for the space-group type: R-3.

***

Which of them is least stable? Easy: A.

***

## A
VASP calculation (GGA-PBE) on Cs5Rb2Au4 after structural relaxation.

```
Cs5Rb2Au4
1.0
10.528 -2.692 0.000
10.528 2.692 0.000
-4.461 0.000 11.988
Cs Rb Au
5 2 4
direct
0.000 0.000 0.000
0.310 0.310 0.202
0.338 0.338 0.621
0.662 0.662 0.379
0.690 0.690 0.798
0.011 0.011 0.654
0.989 0.989 0.346
0.154 0.154 0.572
0.484 0.484 0.183
0.516 0.516 0.817
0.846 0.846 0.428
```

As for the space-group type: C2/m.

***

## B
VASP calculation (GGA-PBE) on Cs5Rb2Au4 after structural relaxation.

```
Cs5Rb2Au4
1.0
13.527 -2.574 0.000
13.527 2.574 0.000
-2.891 0.000 8.728
Cs Rb Au
5 2 4
direct
0.000 0.000 0.000
0.323 0.323 0.057
0.329 0.329 0.585
0.671 0.671 0.415
0.677 0.677 0.943
0.071 0.071 0.594
0.929 0.929 0.406
0.209 0.209 0.708
0.490 0.490 0.657
0.510 0.510 0.343
0.791 0.791 0.292
```

As for the space-group type: C2/m.

***

Which of them is least stable? Easy: A.

***

## A
VASP calculation (GGA-PBE) on Cs8RbAu2 after structural relaxation.

```
Cs8RbAu2
1.0
6.034 -9.097 0.000
6.034 9.097 0.000
-1.310 0.000 7.654
Cs Rb Au
8 1 2
direct
0.099 0.099 0.761
0.158 0.447 0.421
0.231 0.769 0.000
0.447 0.158 0.421
0.553 0.842 0.579
0.769 0.231 0.000
0.842 0.553 0.579
0.901 0.901 0.239
0.500 0.500 0.000
0.182 0.818 0.500
0.818 0.182 0.500
```

As for the space-group type: C2/m.

***

## B
VASP calculation (GGA-PBE) on Cs8RbAu2 after structural relaxation.

```
Cs8RbAu2
1.0
-3.687 7.934 7.981
3.687 -7.934 7.981
3.687 7.934 -7.981
Cs Rb Au
8 1 2
direct
0.156 0.500 0.656
0.170 0.829 0.341
0.171 0.171 0.000
0.489 0.829 0.659
0.511 0.171 0.341
0.829 0.829 0.000
0.830 0.171 0.659
0.844 0.500 0.344
0.500 0.500 0.000
0.167 0.667 0.500
0.833 0.333 0.500
```

As for the space-group type: Immm.

***

Which of them is least stable? Easy: A.